Record 1
Below is HgPbI after structural relaxation, with properties calculated at the PBE-GGA level.

Results
The calculation puts the energy above the most stable polymorph in this dataset at 2.8 kJ/mol of atoms.

Cell lengths 6.8499, 6.8499, 6.8499 Å; angles 142.45, 142.45, 54.15 degrees
Fractional positions:
Hg (0.0000, 0.0000, 0.0000)
Pb (0.5213, 0.5213, 0.0000)
I (0.2785, 0.2785, 0.0000)

---

Record 2
Below is Hg3PbI after structural relaxation, with properties calculated at the PBE-GGA level.

Results
The calculation puts the energy above the most stable polymorph in this dataset at 0.0 kJ/mol of atoms.

Cell lengths 5.8243, 5.8243, 5.8243 Å; angles 90.00, 90.00, 90.00 degrees
Fractional positions:
Hg (0.0000, 0.0000, 0.5000)
Hg (0.0000, 0.5000, 0.0000)
Hg (0.5000, 0.0000, 0.0000)
Pb (0.0000, 0.0000, 0.0000)
I (0.5000, 0.5000, 0.5000)

---

Record 3
Below is HgPb2I4 after structural relaxation, with properties calculated at the PBE-GGA level.

Results
Its uncorrected energy is -2.528 eV per atom.

Cell lengths 4.6469, 4.6469, 17.9712 Å; angles 97.38, 97.38, 60.01 degrees
Fractional positions:
Hg (0.0000, 0.0000, 0.0000)
Pb (0.4297, 0.4297, 0.2874)
Pb (0.5703, 0.5703, 0.7126)
I (0.1312, 0.1312, 0.3926)
I (0.2720, 0.2720, 0.8181)
I (0.7280, 0.7280, 0.1819)
I (0.8688, 0.8688, 0.6074)

---

Calculated values (Å³/atom) of calculated volume for the records, taken in order: 39.53 39.52 47.49.